LiAl2H6ClO6 | PBEsol | optimized geometry

Structure (POSCAR):
```
LiAl2H6ClO6
1.0
5.101 0.000 0.000
-2.551 4.418 0.000
0.000 0.000 13.931
Li Al H Cl O
2 4 12 2 12
direct
0.000 0.000 0.000
0.000 0.000 0.500
0.333 0.667 0.000
0.333 0.667 0.500
0.667 0.333 0.000
0.667 0.333 0.500
0.000 0.304 0.137
0.000 0.304 0.363
0.000 0.696 0.637
0.000 0.696 0.863
0.304 0.000 0.137
0.304 0.000 0.363
0.304 0.304 0.637
0.304 0.304 0.863
0.696 0.000 0.637
0.696 0.000 0.863
0.696 0.696 0.137
0.696 0.696 0.363
0.000 0.000 0.250
0.000 0.000 0.750
0.000 0.367 0.070
0.000 0.367 0.430
0.000 0.633 0.570
0.000 0.633 0.930
0.367 0.000 0.070
0.367 0.000 0.430
0.367 0.367 0.570
0.367 0.367 0.930
0.633 0.000 0.570
0.633 0.000 0.930
0.633 0.633 0.070
0.633 0.633 0.430
```

Properties
Calculated total energy = -5.782 eV per atom
Mass density = 2.10 g/cm³